Entry 1:
CsSrSi3: relaxed, GGA-PBEsol.

## Properties
ΔE_f (raw): 1479 meV per atom

```
data_CsSrSi3
_cell_length_a 5.482
_cell_length_b 5.482
_cell_length_c 5.482
_cell_angle_alpha 90.00
_cell_angle_beta 90.00
_cell_angle_gamma 90.00
_space_group_name_H-M_alt 'P m -3 m'
_space_group_IT_number 221
_space_group_name_Hall '-P 4 2 3'
loop_
_atom_site_label
_atom_site_type_symbol
_atom_site_fract_x
_atom_site_fract_y
_atom_site_fract_z
Cs1 Cs 0.000 0.000 0.000
Sr1 Sr 0.500 0.500 0.500
Si1 Si 0.000 0.000 0.500
```

=====

Entry 2:
NaCr2SbBr: relaxed, GGA-PBEsol.

## Properties
ΔE_f (raw): 1011 meV per atom

```
data_NaCr2SbBr
_cell_length_a 4.880
_cell_length_b 4.880
_cell_length_c 5.837
_cell_angle_alpha 90.00
_cell_angle_beta 90.00
_cell_angle_gamma 90.00
_space_group_name_H-M_alt 'P 4/m m m'
_space_group_IT_number 123
_space_group_name_Hall '-P 4 2'
loop_
_atom_site_label
_atom_site_type_symbol
_atom_site_fract_x
_atom_site_fract_y
_atom_site_fract_z
Na1 Na 0.000 0.000 0.000
Cr1 Cr 0.000 0.500 0.500
Sb1 Sb 0.500 0.500 0.000
Br1 Br 0.500 0.500 0.500
```

=====

Entry 3:
Rb: relaxed, GGA-PBEsol.

## Properties
energy above the lowest structure with this stoichiometry: 0.00 eV/f.u.
ΔE_f: 0.00 eV/f.u.

```
data_Rb
_cell_length_a 6.976
_cell_length_b 6.976
_cell_length_c 6.976
_cell_angle_alpha 90.00
_cell_angle_beta 90.00
_cell_angle_gamma 90.00
_space_group_name_H-M_alt 'F m -3 m'
_space_group_IT_number 225
_space_group_name_Hall '-F 4 2 3'
loop_
_atom_site_label
_atom_site_type_symbol
_atom_site_fract_x
_atom_site_fract_y
_atom_site_fract_z
Rb1 Rb 0.000 0.000 0.000
```

=====

Entry 4:
TcBi2SI: relaxed, GGA-PBEsol.

## Properties
ΔE_f (raw): 609 meV per atom

```
data_TcBi2SI
_cell_length_a 5.633
_cell_length_b 5.633
_cell_length_c 4.283
_cell_angle_alpha 90.00
_cell_angle_beta 90.00
_cell_angle_gamma 90.00
_space_group_name_H-M_alt 'P 4/m m m'
_space_group_IT_number 123
_space_group_name_Hall '-P 4 2'
loop_
_atom_site_label
_atom_site_type_symbol
_atom_site_fract_x
_atom_site_fract_y
_atom_site_fract_z
Tc1 Tc 0.000 0.000 0.000
Bi1 Bi 0.000 0.500 0.500
S1 S 0.000 0.000 0.500
I1 I 0.500 0.500 0.000
```

=====

Entry 5:
ZnSiHg2: relaxed, GGA-PBEsol.

## Properties
energy above the lowest structure with this stoichiometry: 0.34 eV/f.u.
ΔE_f (raw): 336 meV per atom

```
data_ZnSiHg2
_cell_length_a 6.271
_cell_length_b 8.593
_cell_length_c 3.228
_cell_angle_alpha 90.00
_cell_angle_beta 114.85
_cell_angle_gamma 90.00
_space_group_name_H-M_alt 'C 1 2/m 1'
_space_group_IT_number 12
_space_group_name_Hall '-C 2y'
loop_
_atom_site_label
_atom_site_type_symbol
_atom_site_fract_x
_atom_site_fract_y
_atom_site_fract_z
Zn1 Zn 0.000 0.000 0.000
Si1 Si 0.000 0.500 0.000
Hg1 Hg 0.250 0.250 0.500
```

=====

Entry 6:
Tl2CdGeTe4: relaxed, GGA-PBEsol.

## Properties
ΔE_f (raw): -225 meV per atom

```
data_Tl2CdGeTe4
_cell_length_a 8.307
_cell_length_b 8.307
_cell_length_c 6.998
_cell_angle_alpha 90.00
_cell_angle_beta 90.00
_cell_angle_gamma 90.00
_space_group_name_H-M_alt 'I -4 2 m'
_space_group_IT_number 121
_space_group_name_Hall 'I -4 2'
loop_
_atom_site_label
_atom_site_type_symbol
_atom_site_fract_x
_atom_site_fract_y
_atom_site_fract_z
Tl1 Tl 0.000 0.500 0.000
Cd1 Cd 0.000 0.000 0.000
Ge1 Ge 0.000 0.000 0.500
Te1 Te 0.179 0.179 0.273
```